No. 1
Material: Li2CdAg
Method: DFT, GGA-PBEsol
State: relaxed

Cell lengths 2.9407, 2.9407, 27.4442 Å; angles 90.00, 90.00, 120.00 degrees
Fractional positions:
Li 0.0000 0.0000 0.2453
Li 0.0000 0.0000 0.7547
Li 0.3333 0.6667 0.4213
Li 0.3333 0.6667 0.9120
Li 0.6667 0.3333 0.0880
Li 0.6667 0.3333 0.5787
Cd 0.0000 0.0000 0.0000
Cd 0.3333 0.6667 0.6667
Cd 0.6667 0.3333 0.3333
Ag 0.0000 0.0000 0.5000
Ag 0.3333 0.6667 0.1667
Ag 0.6667 0.3333 0.8333

Calculated values
* volume: 17.13 A^3/atom
* raw total energy: -27.044 eV for the cell shown
* formation energy: -0.6 eV/f.u.
* DOS at the Fermi energy: 0.36 states/eV/atom
* symmetry: R-3m (166)


No. 2
Material: Rb2LiAg
Method: DFT, GGA-PBEsol
State: relaxed

Cell lengths 8.6734, 8.6734, 8.6734 Å; angles 90.00, 90.00, 90.00 degrees
Fractional positions:
Rb 0.2500 0.2500 0.2500
Rb 0.2500 0.2500 0.7500
Rb 0.2500 0.7500 0.2500
Rb 0.2500 0.7500 0.7500
Rb 0.7500 0.2500 0.2500
Rb 0.7500 0.2500 0.7500
Rb 0.7500 0.7500 0.2500
Rb 0.7500 0.7500 0.7500
Li 0.0000 0.0000 0.0000
Li 0.0000 0.5000 0.5000
Li 0.5000 0.0000 0.5000
Li 0.5000 0.5000 0.0000
Ag 0.0000 0.0000 0.5000
Ag 0.0000 0.5000 0.0000
Ag 0.5000 0.0000 0.0000
Ag 0.5000 0.5000 0.5000

Calculated values
* volume: 40.78 A^3/atom
* raw total energy: -25.219 eV for the cell shown
* formation energy: 1.0 eV/f.u.
* DOS at the Fermi energy: 0.37 states/eV/atom
* symmetry: Fm-3m (225)


No. 3
Material: ZrAuN2
Method: DFT, GGA-PBEsol
State: relaxed

Cell lengths 3.2794, 3.2794, 18.6076 Å; angles 90.00, 90.00, 120.00 degrees
Fractional positions:
Zr 0.0000 0.0000 0.0000
Zr 0.3333 0.6667 0.6667
Zr 0.6667 0.3333 0.3333
Au 0.0000 0.0000 0.5000
Au 0.3333 0.6667 0.1667
Au 0.6667 0.3333 0.8333
N 0.0000 0.0000 0.1139
N 0.0000 0.0000 0.8861
N 0.3333 0.6667 0.5528
N 0.3333 0.6667 0.7805
N 0.6667 0.3333 0.2195
N 0.6667 0.3333 0.4472

Calculated values
* raw formation energy: 721 meV per atom
* volume: 14.44 A^3/atom
* raw total energy: -81.547 eV for the cell shown
* DOS at the Fermi energy: 0.71 states/eV/atom
* symmetry: R-3m (166)


No. 4
Material: BaCd2Te
Method: DFT, GGA-PBEsol
State: relaxed

Cell lengths 4.7488, 4.7488, 5.4746 Å; angles 90.00, 90.00, 90.00 degrees
Fractional positions:
Ba 0.0000 0.0000 0.0000
Cd 0.0000 0.5000 0.5000
Cd 0.5000 0.0000 0.5000
Te 0.5000 0.5000 0.0000

Calculated values
* raw formation energy: -567 meV per atom
* volume: 30.86 A^3/atom
* raw total energy: -10.339 eV for the cell shown
* DOS at the Fermi energy: 0.31 states/eV/atom
* symmetry: P4/mmm (123)


No. 5
Material: ZrCoS3
Method: DFT, GGA-PBEsol
State: relaxed

Cell lengths 4.3097, 4.3097, 4.3097 Å; angles 90.00, 90.00, 90.00 degrees
Fractional positions:
Zr 0.0000 0.0000 0.0000
Co 0.5000 0.5000 0.5000
S 0.0000 0.5000 0.5000
S 0.5000 0.0000 0.5000
S 0.5000 0.5000 0.0000

Calculated values
* raw formation energy: -387 meV per atom
* volume: 16.01 A^3/atom
* raw total energy: -31.913 eV for the cell shown
* DOS at the Fermi energy: 0.82 states/eV/atom
* symmetry: Pm-3m (221)


No. 6
Material: Lu6MnBi2
Method: DFT, GGA-PBEsol
State: relaxed

Cell lengths 7.9992, 7.9992, 4.1072 Å; angles 90.00, 90.00, 120.00 degrees
Fractional positions:
Lu 0.0000 0.2304 0.0000
Lu 0.0000 0.6166 0.5000
Lu 0.2304 0.0000 0.0000
Lu 0.3834 0.3834 0.5000
Lu 0.6166 0.0000 0.5000
Lu 0.7696 0.7696 0.0000
Mn 0.0000 0.0000 0.5000
Bi 0.3333 0.6667 0.0000
Bi 0.6667 0.3333 0.0000

Calculated values
* volume: 25.29 A^3/atom
* raw total energy: -51.273 eV for the cell shown
* formation energy: -3.7 eV/f.u.
* DOS at the Fermi energy: 0.50 states/eV/atom
* symmetry: P-62m (189)


No. 7
Material: TaZnAg
Method: DFT, GGA-PBEsol
State: relaxed

Cell lengths 2.8544, 2.8544, 11.6156 Å; angles 90.00, 90.00, 90.00 degrees
Fractional positions:
Ta 0.0000 0.0000 0.0000
Ta 0.5000 0.5000 0.5000
Zn 0.0000 0.0000 0.6603
Zn 0.5000 0.5000 0.1603
Ag 0.0000 0.0000 0.3169
Ag 0.5000 0.5000 0.8169

Calculated values
* volume: 15.77 A^3/atom
* raw total energy: -34.525 eV for the cell shown
* formation energy: 0.2 eV/f.u.
* DOS at the Fermi energy: 0.41 states/eV/atom
* symmetry: I4mm (107)


No. 8
Material: MnZnW2
Method: DFT, GGA-PBEsol
State: relaxed

Cell lengths 3.0710, 4.2597, 8.5459 Å; angles 90.00, 90.00, 90.00 degrees
Fractional positions:
Mn 0.0000 0.0000 0.0000
Mn 0.5000 0.5000 0.5000
Zn 0.0000 0.0000 0.5000
Zn 0.5000 0.5000 0.0000
W 0.0000 0.5000 0.2630
W 0.0000 0.5000 0.7370
W 0.5000 0.0000 0.2370
W 0.5000 0.0000 0.7630

Calculated values
* volume: 13.97 A^3/atom
* raw total energy: -76.081 eV for the cell shown
* formation energy: 0.9 eV/f.u.
* DOS at the Fermi energy: 0.48 states/eV/atom
* symmetry: Immm (71)


No. 9
Material: SrH2BrN
Method: DFT, GGA-PBEsol
State: relaxed

Cell lengths 4.0612, 4.0612, 4.5233 Å; angles 90.00, 90.00, 90.00 degrees
Fractional positions:
Sr 0.0000 0.0000 0.0000
H 0.0000 0.5000 0.5000
H 0.5000 0.0000 0.5000
Br 0.5000 0.5000 0.0000
N 0.5000 0.5000 0.5000

Calculated values
* volume: 14.92 A^3/atom
* raw total energy: -16.246 eV for the cell shown
* DOS at the Fermi energy: 0.40 states/eV/atom
* symmetry: P4/mmm (123)


No. 10
Material: TiGeBi2Os
Method: DFT, GGA-PBEsol
State: relaxed

Cell lengths 5.2549, 5.2549, 4.5876 Å; angles 90.00, 90.00, 90.00 degrees
Fractional positions:
Ti 0.0000 0.0000 0.0000
Ge 0.5000 0.5000 0.5000
Bi 0.0000 0.5000 0.0000
Bi 0.5000 0.0000 0.0000
Os 0.0000 0.0000 0.5000

Calculated values
* volume: 25.34 A^3/atom
* raw total energy: -28.742 eV for the cell shown
* formation energy: 5.3 eV/f.u.
* DOS at the Fermi energy: 0.94 states/eV/atom
* symmetry: P4/mmm (123)


No. 11
Material: Tb2C
Method: DFT, GGA-PBEsol
State: relaxed

Cell lengths 3.5460, 3.5460, 18.5141 Å; angles 90.00, 90.00, 120.00 degrees
Fractional positions:
Tb 0.0000 0.0000 0.2394
Tb 0.0000 0.0000 0.7606
Tb 0.3333 0.6667 0.4272
Tb 0.3333 0.6667 0.9061
Tb 0.6667 0.3333 0.0939
Tb 0.6667 0.3333 0.5728
C 0.0000 0.0000 0.5000
C 0.3333 0.6667 0.1667
C 0.6667 0.3333 0.8333

Calculated values
* volume: 22.40 A^3/atom
* raw total energy: -61.496 eV for the cell shown
* formation energy: -0.8 eV/f.u.
* DOS at the Fermi energy: 0.79 states/eV/atom
* symmetry: R-3m (166)


No. 12
Material: Ba4Br6O
Method: DFT, GGA-PBEsol
State: relaxed

Cell lengths 10.0303, 10.0303, 7.5897 Å; angles 90.00, 90.00, 90.00 degrees
Fractional positions:
Ba 0.0175 0.7500 0.0886
Ba 0.2500 0.5175 0.4114
Ba 0.2500 0.9825 0.4114
Ba 0.4825 0.7500 0.0886
Ba 0.5175 0.2500 0.9114
Ba 0.7500 0.0175 0.5886
Ba 0.7500 0.4825 0.5886
Ba 0.9825 0.2500 0.9114
Br 0.0465 0.5465 0.7500
Br 0.0465 0.9535 0.7500
Br 0.2500 0.2500 0.1559
Br 0.2500 0.2500 0.6559
Br 0.4535 0.5465 0.7500
Br 0.4535 0.9535 0.7500
Br 0.5465 0.0465 0.2500
Br 0.5465 0.4535 0.2500
Br 0.7500 0.7500 0.3441
Br 0.7500 0.7500 0.8441
Br 0.9535 0.0465 0.2500
Br 0.9535 0.4535 0.2500
O 0.2500 0.7500 0.2500
O 0.7500 0.2500 0.7500

Calculated values
* raw formation energy: -2235 meV per atom
* volume: 34.71 A^3/atom
* raw total energy: -99.307 eV for the cell shown
* DOS at the Fermi energy: 0.00 states/eV/atom
* symmetry: P4_2/nmc (137)


No. 13
Material: YMo2P
Method: DFT, GGA-PBEsol
State: relaxed

Cell lengths 5.4345, 9.7057, 3.1683 Å; angles 90.00, 124.84, 90.00 degrees
Fractional positions:
Y 0.0000 0.0000 0.0000
Y 0.5000 0.5000 0.0000
Mo 0.2500 0.2500 0.5000
Mo 0.2500 0.7500 0.5000
Mo 0.7500 0.2500 0.5000
Mo 0.7500 0.7500 0.5000
P 0.0000 0.5000 0.0000
P 0.5000 0.0000 0.0000

Calculated values
* volume: 17.14 A^3/atom
* raw total energy: -71.016 eV for the cell shown
* formation energy: 0.6 eV/f.u.
* DOS at the Fermi energy: 0.79 states/eV/atom
* symmetry: C2/m (12)


No. 14
Material: MnP4Pt
Method: DFT, GGA-PBEsol
State: relaxed

Cell lengths 4.9292, 4.9292, 4.9292 Å; angles 60.00, 60.00, 60.00 degrees
Fractional positions:
Mn 0.0000 0.0000 0.0000
P 0.3746 0.3746 0.3746
P 0.3746 0.3746 0.8761
P 0.3746 0.8761 0.3746
P 0.8761 0.3746 0.3746
Pt 0.7500 0.7500 0.7500

Calculated values
* volume: 14.11 A^3/atom
* raw total energy: -36.303 eV for the cell shown
* formation energy: 3.6 eV/f.u.
* DOS at the Fermi energy: 0.68 states/eV/atom
* symmetry: F-43m (216)


No. 15
Material: RbCu3I
Method: DFT, GGA-PBEsol
State: relaxed

Cell lengths 5.2070, 5.2070, 5.2070 Å; angles 90.00, 90.00, 90.00 degrees
Fractional positions:
Rb 0.0000 0.0000 0.0000
Cu 0.0000 0.0000 0.5000
Cu 0.0000 0.5000 0.0000
Cu 0.5000 0.0000 0.0000
I 0.5000 0.5000 0.5000

Calculated values
* raw formation energy: 1686 meV per atom
* volume: 28.23 A^3/atom
* raw total energy: -7.363 eV for the cell shown
* DOS at the Fermi energy: 0.95 states/eV/atom
* symmetry: Pm-3m (221)


No. 16
Material: Cu2SiAu
Method: DFT, GGA-PBEsol
State: relaxed

Cell lengths 2.8848, 3.4924, 5.2490 Å; angles 90.00, 90.00, 90.00 degrees
Fractional positions:
Cu 0.0000 0.0000 0.2313
Cu 0.0000 0.0000 0.7687
Si 0.5000 0.5000 0.0000
Au 0.5000 0.5000 0.5000

Calculated values
* raw formation energy: -39 meV per atom
* volume: 13.22 A^3/atom
* raw total energy: -18.495 eV for the cell shown
* DOS at the Fermi energy: 0.34 states/eV/atom
* symmetry: Pmmm (47)


No. 17
Material: TlBrO2
Method: DFT, GGA-PBEsol
State: relaxed

Cell lengths 6.1197, 6.1197, 6.1197 Å; angles 90.00, 90.00, 90.00 degrees
Fractional positions:
Tl 0.0000 0.0000 0.0000
Tl 0.0000 0.5000 0.5000
Tl 0.5000 0.0000 0.5000
Tl 0.5000 0.5000 0.0000
Br 0.0000 0.0000 0.5000
Br 0.0000 0.5000 0.0000
Br 0.5000 0.0000 0.0000
Br 0.5000 0.5000 0.5000
O 0.2500 0.2500 0.2500
O 0.2500 0.2500 0.7500
O 0.2500 0.7500 0.2500
O 0.2500 0.7500 0.7500
O 0.7500 0.2500 0.2500
O 0.7500 0.2500 0.7500
O 0.7500 0.7500 0.2500
O 0.7500 0.7500 0.7500

Calculated values
* raw formation energy: 558 meV per atom
* volume: 14.32 A^3/atom
* raw total energy: -51.062 eV for the cell shown
* DOS at the Fermi energy: 0.72 states/eV/atom
* symmetry: Fm-3m (225)


No. 18
Material: ScCuHg
Method: DFT, GGA-PBEsol
State: relaxed

Cell lengths 3.3693, 3.3693, 5.8874 Å; angles 90.00, 90.00, 120.00 degrees
Fractional positions:
Sc 0.0000 0.0000 0.0000
Cu 0.3333 0.6667 0.6965
Hg 0.6667 0.3333 0.3805

Calculated values
* volume: 19.29 A^3/atom
* raw total energy: -11.663 eV for the cell shown
* formation energy: -0.2 eV/f.u.
* DOS at the Fermi energy: 0.78 states/eV/atom
* symmetry: P3m1 (156)


No. 19
Material: CdReHg2I
Method: DFT, GGA-PBEsol
State: relaxed

Cell lengths 6.8084, 6.8084, 5.5468 Å; angles 90.00, 90.00, 90.00 degrees
Fractional positions:
Cd 0.0000 0.0000 0.0000
Re 0.5000 0.5000 0.0000
Hg 0.0000 0.5000 0.5000
Hg 0.5000 0.0000 0.5000
I 0.0000 0.0000 0.5000

Calculated values
* raw formation energy: 1933 meV per atom
* volume: 51.42 A^3/atom
* raw total energy: -7.764 eV for the cell shown
* DOS at the Fermi energy: 0.23 states/eV/atom
* symmetry: P4/mmm (123)


No. 20
Material: PbBr2
Method: DFT, GGA-PBEsol
State: relaxed

Cell lengths 8.0608, 8.0608, 4.5201 Å; angles 90.00, 90.00, 120.00 degrees
Fractional positions:
Pb 0.0000 0.0000 0.0000
Pb 0.3333 0.6667 0.5000
Pb 0.6667 0.3333 0.5000
Br 0.0000 0.4072 0.0000
Br 0.0000 0.7424 0.5000
Br 0.2576 0.2576 0.5000
Br 0.4072 0.0000 0.0000
Br 0.5928 0.5928 0.0000
Br 0.7424 0.0000 0.5000

Calculated values
* raw formation energy: -841 meV per atom
* volume: 28.26 A^3/atom
* raw total energy: -30.785 eV for the cell shown
* DOS at the Fermi energy: 0.00 states/eV/atom
* symmetry: P-62m (189)


No. 21
Material: ScAgSe2Br
Method: DFT, GGA-PBEsol
State: relaxed

Cell lengths 5.0149, 5.0149, 4.9554 Å; angles 90.00, 90.00, 90.00 degrees
Fractional positions:
Sc 0.0000 0.0000 0.0000
Ag 0.5000 0.5000 0.5000
Se 0.0000 0.5000 0.5000
Se 0.5000 0.0000 0.5000
Br 0.5000 0.5000 0.0000

Calculated values
* raw formation energy: -35 meV per atom
* volume: 24.93 A^3/atom
* raw total energy: -19.662 eV for the cell shown
* DOS at the Fermi energy: 0.69 states/eV/atom
* symmetry: P4/mmm (123)


No. 22
Material: KLaFe
Method: DFT, GGA-PBEsol
State: relaxed

Cell lengths 4.0455, 4.0455, 6.3680 Å; angles 90.00, 90.00, 120.00 degrees
Fractional positions:
K 0.0000 0.0000 0.0000
La 0.3333 0.6667 0.5000
Fe 0.6667 0.3333 0.5000

Calculated values
* volume: 30.09 A^3/atom
* raw total energy: -13.158 eV for the cell shown
* formation energy: 2.3 eV/f.u.
* DOS at the Fermi energy: 1.20 states/eV/atom
* symmetry: P-6m2 (187)


No. 23
Material: AlTe2Cl
Method: DFT, GGA-PBEsol
State: relaxed

Cell lengths 4.1516, 4.1516, 12.7282 Å; angles 90.00, 90.00, 90.00 degrees
Fractional positions:
Al 0.0000 0.0000 0.0000
Al 0.5000 0.5000 0.5000
Te 0.0000 0.5000 0.2500
Te 0.0000 0.5000 0.7500
Te 0.5000 0.0000 0.2500
Te 0.5000 0.0000 0.7500
Cl 0.0000 0.0000 0.5000
Cl 0.5000 0.5000 0.0000

Calculated values
* raw formation energy: -27 meV per atom
* volume: 27.42 A^3/atom
* raw total energy: -26.523 eV for the cell shown
* DOS at the Fermi energy: 0.50 states/eV/atom
* symmetry: I4/mmm (139)


No. 24
Material: Sr3V5S11
Method: DFT, GGA-PBEsol
State: relaxed

Cell lengths 8.4597, 8.4597, 23.0625 Å; angles 94.18, 94.18, 120.25 degrees
Fractional positions:
Sr 0.0514 0.2956 0.6788
Sr 0.1186 0.7604 0.8248
Sr 0.2396 0.8814 0.6752
Sr 0.2956 0.0514 0.1788
Sr 0.3089 0.3524 0.8196
Sr 0.3524 0.3089 0.3196
Sr 0.6476 0.6911 0.6804
Sr 0.6911 0.6476 0.1804
Sr 0.7044 0.9486 0.8212
Sr 0.7604 0.1186 0.3248
Sr 0.8814 0.2396 0.1752
Sr 0.9486 0.7044 0.3212
V 0.0000 0.5000 0.5000
V 0.0431 0.8659 0.0000
V 0.1341 0.9569 0.5000
V 0.2485 0.5645 0.9973
V 0.2574 0.6214 0.1256
V 0.2649 0.3479 0.5017
V 0.3207 0.6793 0.2500
V 0.3479 0.2649 0.0017
V 0.3786 0.7426 0.3744
V 0.4355 0.7515 0.5027
V 0.5000 0.0000 0.0000
V 0.5645 0.2485 0.4973
V 0.6214 0.2574 0.6256
V 0.6521 0.7351 0.9983
V 0.6793 0.3207 0.7500
V 0.7351 0.6521 0.4983
V 0.7426 0.3786 0.8744
V 0.7515 0.4355 0.0027
V 0.8659 0.0431 0.5000
V 0.9569 0.1341 0.0000
S 0.0007 0.4052 0.0554
S 0.0127 0.9873 0.7500
S 0.0173 0.2804 0.4375
S 0.0667 0.6510 0.1875
S 0.1196 0.1487 0.5694
S 0.1267 0.4834 0.3156
S 0.1445 0.2988 0.9339
S 0.1487 0.1196 0.0694
S 0.1770 0.7265 0.4437
S 0.2590 0.5699 0.5686
S 0.2735 0.8230 0.0563
S 0.2804 0.0173 0.9375
S 0.2884 0.4251 0.1876
S 0.2988 0.1445 0.4339
S 0.3439 0.6561 0.7500
S 0.3490 0.9333 0.3125
S 0.4052 0.0007 0.5554
S 0.4251 0.2884 0.6876
S 0.4301 0.7410 0.9314
S 0.4447 0.5512 0.0639
S 0.4488 0.5553 0.4361
S 0.4834 0.1267 0.8156
S 0.5166 0.8733 0.1844
S 0.5512 0.4447 0.5639
S 0.5553 0.4488 0.9361
S 0.5699 0.2590 0.0686
S 0.5749 0.7116 0.3124
S 0.5948 0.9993 0.4446
S 0.6510 0.0667 0.6875
S 0.6561 0.3439 0.2500
S 0.7012 0.8555 0.5661
S 0.7116 0.5749 0.8124
S 0.7196 0.9827 0.0625
S 0.7265 0.1770 0.9437
S 0.7410 0.4301 0.4314
S 0.8230 0.2735 0.5563
S 0.8513 0.8804 0.9306
S 0.8555 0.7012 0.0661
S 0.8733 0.5166 0.6844
S 0.8804 0.8513 0.4306
S 0.9333 0.3490 0.8125
S 0.9827 0.7196 0.5625
S 0.9873 0.0127 0.2500
S 0.9993 0.5948 0.9446

Calculated values
* raw formation energy: -1369 meV per atom
* volume: 18.56 A^3/atom
* raw total energy: -511.693 eV for the cell shown
* DOS at the Fermi energy: 0.45 states/eV/atom
* symmetry: C2/c (15)